Material: BaAg2SnW
Method: DFT, GGA-PBE
State: relaxed

a b c (Å): 5.270 5.324 5.270
angles (deg): 90.00 90.00 90.00
Last column: magnetic moment on the atom in μB.
Element x y z (fractional)
W 0.000 0.500 0.000  1.62
Ag 0.000 0.000 0.500  -0.01
Ag 0.500 0.000 0.000  -0.01
Ba 0.500 0.500 0.500  0.01
Sn 0.000 0.000 0.000  -0.04

Computed properties:
Density of states at the Fermi level, states/eV/f.u.: 3.0
Formation energy, meV/atom: 817
M_tot, μB per formula unit: 2.03